DFT (PBEsol) results for a geometry-optimized EuGe3 structure.

Structure (CIF):
```
data_EuGe3
_symmetry_space_group_name_H-M 'P 1'
_symmetry_Int_Tables_number 1
_symmetry_space_group_name_Hall 'P 1'
_cell_length_a 4.928
_cell_length_b 6.199
_cell_length_c 6.199
_cell_angle_alpha 120.00
_cell_angle_beta 90.00
_cell_angle_gamma 90.00
loop_
_atom_site_label
_atom_site_fract_x
_atom_site_fract_y
_atom_site_fract_z
Eu1 0.250 0.333 0.667
Eu2 0.750 0.667 0.333
Ge1 0.750 0.143 0.857
Ge2 0.750 0.714 0.857
Ge3 0.750 0.143 0.286
Ge4 0.250 0.857 0.143
Ge5 0.250 0.286 0.143
Ge6 0.250 0.857 0.714
```

Output
As for the formation enthalpy at 0 K: -1.80 eV per formula unit. Its space-group type is No. 194. As for the density of states at the Fermi level: 0.45 states/eV/atom. The value obtained for the total moment is 1.69 μB/atom.

---

DFT (PBEsol) results for a geometry-optimized NbCrSb2I structure.

Structure (CIF):
```
data_NbCrSb2I
_symmetry_space_group_name_H-M 'P 1'
_symmetry_Int_Tables_number 1
_symmetry_space_group_name_Hall 'P 1'
_cell_length_a 4.936
_cell_length_b 4.936
_cell_length_c 5.376
_cell_angle_alpha 90.00
_cell_angle_beta 90.00
_cell_angle_gamma 90.00
loop_
_atom_site_label
_atom_site_fract_x
_atom_site_fract_y
_atom_site_fract_z
I1 0.000 0.000 0.500
Sb1 0.000 0.500 0.000
Sb2 0.500 0.000 0.000
Nb1 0.500 0.500 0.500
Cr1 0.000 0.000 0.000
```

Output
Its space-group type is No. 123. As for the density of states at the Fermi level: 0.63 states/eV/atom. The calculation puts the formation energy from raw total energies at 4.870 eV/f.u. The value obtained for the total moment is 1.08 μB/atom.

---

DFT (PBEsol) results for a geometry-optimized SrScPb structure.

Structure (CIF):
```
data_SrScPb
_symmetry_space_group_name_H-M 'P 1'
_symmetry_Int_Tables_number 1
_symmetry_space_group_name_Hall 'P 1'
_cell_length_a 4.414
_cell_length_b 4.981
_cell_length_c 4.981
_cell_angle_alpha 120.00
_cell_angle_beta 90.00
_cell_angle_gamma 90.00
loop_
_atom_site_label
_atom_site_fract_x
_atom_site_fract_y
_atom_site_fract_z
Pb1 0.000 0.000 0.000
Sc1 0.000 0.333 0.667
Sr1 0.500 0.667 0.333
```

Output
As for the formation enthalpy at 0 K: -0.77 eV per formula unit. Its space-group type is No. 187. As for the density of states at the Fermi level: 0.76 states/eV/atom. The value obtained for the total moment is 0.19 μB/atom.

---

DFT (PBEsol) results for a geometry-optimized CsCa2Zn2 structure.

Structure (CIF):
```
data_CsCa2Zn2
_symmetry_space_group_name_H-M 'P 1'
_symmetry_Int_Tables_number 1
_symmetry_space_group_name_Hall 'P 1'
_cell_length_a 5.666
_cell_length_b 5.666
_cell_length_c 7.186
_cell_angle_alpha 113.22
_cell_angle_beta 113.22
_cell_angle_gamma 90.00
loop_
_atom_site_label
_atom_site_fract_x
_atom_site_fract_y
_atom_site_fract_z
Cs1 0.000 0.000 0.000
Zn1 0.250 0.750 0.500
Zn2 0.750 0.250 0.500
Ca1 0.335 0.335 0.670
Ca2 0.665 0.665 0.330
```

Output
As for the formation enthalpy at 0 K: 1.04 eV per formula unit. Its space-group type is No. 139. As for the density of states at the Fermi level: 0.80 states/eV/atom. The value obtained for the total moment is 0.00 μB/atom.

---

DFT (PBEsol) results for a geometry-optimized BaSrSc3 structure.

Structure (CIF):
```
data_BaSrSc3
_symmetry_space_group_name_H-M 'P 1'
_symmetry_Int_Tables_number 1
_symmetry_space_group_name_Hall 'P 1'
_cell_length_a 5.468
_cell_length_b 5.468
_cell_length_c 5.468
_cell_angle_alpha 90.00
_cell_angle_beta 90.00
_cell_angle_gamma 90.00
loop_
_atom_site_label
_atom_site_fract_x
_atom_site_fract_y
_atom_site_fract_z
Sc1 0.000 0.500 0.000
Sc2 0.000 0.000 0.500
Sc3 0.500 0.000 0.000
Sr1 0.500 0.500 0.500
Ba1 0.000 0.000 0.000
```

Output
As for the formation enthalpy at 0 K: 4.15 eV per formula unit. Its space-group type is No. 221. As for the density of states at the Fermi level: 1.06 states/eV/atom. The value obtained for the total moment is 0.00 μB/atom.

---

DFT (PBEsol) results for a geometry-optimized KBa2Se structure.

Structure (CIF):
```
data_KBa2Se
_symmetry_space_group_name_H-M 'P 1'
_symmetry_Int_Tables_number 1
_symmetry_space_group_name_Hall 'P 1'
_cell_length_a 4.939
_cell_length_b 4.939
_cell_length_c 7.331
_cell_angle_alpha 109.69
_cell_angle_beta 109.69
_cell_angle_gamma 90.00
loop_
_atom_site_label
_atom_site_fract_x
_atom_site_fract_y
_atom_site_fract_z
Ba1 0.000 0.000 0.000
Ba2 0.750 0.250 0.500
K1 0.500 0.500 0.000
Se1 0.250 0.750 0.500
```

Output
Its space-group type is No. 119. As for the density of states at the Fermi level: 0.67 states/eV/atom. The calculation puts the formation energy from raw total energies at -2.009 eV/f.u. The value obtained for the total moment is 0.00 μB/atom.

---

DFT (PBEsol) results for a geometry-optimized LaFeB2 structure.

Structure (CIF):
```
data_LaFeB2
_symmetry_space_group_name_H-M 'P 1'
_symmetry_Int_Tables_number 1
_symmetry_space_group_name_Hall 'P 1'
_cell_length_a 4.420
_cell_length_b 4.420
_cell_length_c 6.864
_cell_angle_alpha 108.78
_cell_angle_beta 108.78
_cell_angle_gamma 90.00
loop_
_atom_site_label
_atom_site_fract_x
_atom_site_fract_y
_atom_site_fract_z
B1 0.625 0.375 0.750
B2 0.125 0.375 0.750
B3 0.625 0.875 0.250
B4 0.625 0.375 0.250
Fe1 0.500 0.500 0.000
Fe2 0.750 0.250 0.500
La1 0.000 0.000 0.000
La2 0.250 0.750 0.500
```

Output
As for the formation enthalpy at 0 K: -0.68 eV per formula unit. Its space-group type is No. 141. As for the density of states at the Fermi level: 0.67 states/eV/atom. The value obtained for the total moment is 0.00 μB/atom.

---

DFT (PBEsol) results for a geometry-optimized La2Ru structure.

Structure (CIF):
```
data_La2Ru
_symmetry_space_group_name_H-M 'P 1'
_symmetry_Int_Tables_number 1
_symmetry_space_group_name_Hall 'P 1'
_cell_length_a 3.891
_cell_length_b 6.324
_cell_length_c 6.761
_cell_angle_alpha 90.02
_cell_angle_beta 90.00
_cell_angle_gamma 107.92
loop_
_atom_site_label
_atom_site_fract_x
_atom_site_fract_y
_atom_site_fract_z
Ru1 0.977 0.955 0.472
Ru2 0.745 0.490 0.972
La1 0.083 0.167 0.972
La2 0.361 0.722 0.222
La3 0.639 0.278 0.472
La4 0.361 0.722 0.722
```

Output
As for the formation enthalpy at 0 K: -0.55 eV per formula unit. Its space-group type is No. 63. As for the density of states at the Fermi level: 0.82 states/eV/atom. The value obtained for the total moment is 0.00 μB/atom.